# Cs3TbCu2Br9 (PBE, relaxed)
data_Cs3TbCu2Br9
_chemical_formula_sum 'Cs3 Tb1 Cu2 Br9'
_cell_length_a 7.7256
_cell_length_b 7.7256
_cell_length_c 9.5521
_cell_angle_alpha 90.00
_cell_angle_beta 90.00
_cell_angle_gamma 120.00
_symmetry_space_group_name_H-M 'P -3 m 1'
_symmetry_Int_Tables_number 164
_symmetry_space_group_name_Hall '-P 3 2"'
loop_
_atom_site_label
_atom_site_type_symbol
_atom_site_fract_x
_atom_site_fract_y
_atom_site_fract_z
_atom_site_occupancy
Cs1 Cs 0.0000 0.0000 0.0000 1
Cs2 Cs 0.3333 0.6667 0.6724 1
Tb1 Tb 0.0000 0.0000 0.5000 1
Cu1 Cu 0.3333 0.6667 0.1323 1
Br1 Br 0.0000 0.5000 0.0000 1
Br2 Br 0.1711 0.3421 0.3289 1
# Electronic total energy (eV/atom): -3.340
# Uncorrected formation energy (kJ/mol of formula units): -1897
# Density (g/cm³): 4.7



# Er5Pb2 (PBE, relaxed)
data_Er5Pb2
_chemical_formula_sum 'Er20 Pb8'
_cell_length_a 15.9181
_cell_length_b 6.2458
_cell_length_c 8.4950
_cell_angle_alpha 90.00
_cell_angle_beta 96.79
_cell_angle_gamma 90.00
_symmetry_space_group_name_H-M 'C 1 2/c 1'
_symmetry_Int_Tables_number 15
loop_
_symmetry_equiv_pos_as_xyz
'x,y,z'
'-x,-y,-z'
'-x,y,-z+1/2'
'x,-y,z+1/2'
'x+1/2,y+1/2,z'
'-x+1/2,-y+1/2,-z'
'-x+1/2,y+1/2,-z+1/2'
'x+1/2,-y+1/2,z+1/2'
loop_
_atom_site_label
_atom_site_type_symbol
_atom_site_fract_x
_atom_site_fract_y
_atom_site_fract_z
_atom_site_occupancy
Er1 Er 0.0000 0.1794 0.2500 1
Er2 Er 0.1089 0.3540 0.9391 1
Er3 Er 0.2198 0.1050 0.3121 1
Pb1 Pb 0.0973 0.1832 0.5862 1
# Electronic total energy (eV/atom): -4.589
# Density (g/cm³): 9.9



# PmErSbO6 (PBE, relaxed)
data_PmErSbO6
_chemical_formula_sum 'Pm2 Er2 Sb2 O12'
_cell_length_a 5.6412
_cell_length_b 5.6412
_cell_length_c 9.6869
_cell_angle_alpha 90.00
_cell_angle_beta 90.00
_cell_angle_gamma 120.00
_symmetry_space_group_name_H-M 'P -3 1 c'
_symmetry_Int_Tables_number 163
_symmetry_space_group_name_Hall '-P 3 2c'
loop_
_atom_site_label
_atom_site_type_symbol
_atom_site_fract_x
_atom_site_fract_y
_atom_site_fract_z
_atom_site_occupancy
Pm1 Pm 0.0000 0.0000 0.0000 1
Er1 Er 0.3333 0.6667 0.2500 1
Sb1 Sb 0.3333 0.6667 0.7500 1
O1 O 0.0330 0.3682 0.6367 1
# Electronic total energy (eV/atom): -7.218
# Uncorrected formation energy (kJ/mol of formula units): -2101
# Density (g/cm³): 6.6



# PrY2Th3S6 (PBE, relaxed)
data_PrY2Th3S6
_chemical_formula_sum 'Pr2 Y4 Th6 S12'
_cell_length_a 6.9067
_cell_length_b 11.8805
_cell_length_c 7.0537
_cell_angle_alpha 90.00
_cell_angle_beta 108.78
_cell_angle_gamma 90.00
_symmetry_space_group_name_H-M 'C 1 2/m 1'
_symmetry_Int_Tables_number 12
loop_
_symmetry_equiv_pos_as_xyz
'x,y,z'
'-x,-y,-z'
'-x,y,-z'
'x,-y,z'
'x+1/2,y+1/2,z'
'-x+1/2,-y+1/2,-z'
'-x+1/2,y+1/2,-z'
'x+1/2,-y+1/2,z'
loop_
_atom_site_label
_atom_site_type_symbol
_atom_site_fract_x
_atom_site_fract_y
_atom_site_fract_z
_atom_site_occupancy
Pr1 Pr 0.0000 0.0000 0.0000 1
Y1 Y 0.0000 0.3328 0.0000 1
Th1 Th 0.0000 0.1617 0.5000 1
Th2 Th 0.0000 0.5000 0.5000 1
S1 S 0.2352 0.5000 0.2365 1
S2 S 0.2472 0.3283 0.7567 1
# Electronic total energy (eV/atom): -7.297
# Uncorrected formation energy (kJ/mol of formula units): -2203
# Density (g/cm³): 7.3



# La3Dy2Er8 (PBE, relaxed)
data_La3Dy2Er8
_chemical_formula_sum 'La6 Dy4 Er16'
_cell_length_a 20.0286
_cell_length_b 7.7543
_cell_length_c 5.6249
_cell_angle_alpha 90.00
_cell_angle_beta 90.15
_cell_angle_gamma 90.00
_symmetry_space_group_name_H-M 'C 1 2/m 1'
_symmetry_Int_Tables_number 12
loop_
_symmetry_equiv_pos_as_xyz
'x,y,z'
'-x,-y,-z'
'-x,y,-z'
'x,-y,z'
'x+1/2,y+1/2,z'
'-x+1/2,-y+1/2,-z'
'-x+1/2,y+1/2,-z'
'x+1/2,-y+1/2,z'
loop_
_atom_site_label
_atom_site_type_symbol
_atom_site_fract_x
_atom_site_fract_y
_atom_site_fract_z
_atom_site_occupancy
La1 La 0.0000 0.0000 0.0000 1
La2 La 0.0000 0.3000 0.5000 1
Dy1 Dy 0.2405 0.0000 0.9978 1
Er1 Er 0.1103 0.2929 0.0007 1
Er2 Er 0.1367 0.0000 0.4990 1
Er3 Er 0.1731 0.5000 0.5018 1
# Electronic total energy (eV/atom): -4.395
# Density (g/cm³): 7.9



# AcBi2Rh4 (PBE, relaxed)
data_AcBi2Rh4
_chemical_formula_sum 'Ac4 Bi8 Rh16'
_cell_length_a 17.1082
_cell_length_b 4.4389
_cell_length_c 7.8518
_cell_angle_alpha 90.00
_cell_angle_beta 90.00
_cell_angle_gamma 90.00
_symmetry_space_group_name_H-M 'P n m a'
_symmetry_Int_Tables_number 62
loop_
_symmetry_equiv_pos_as_xyz
'x,y,z'
'-x,-y,-z'
'-x+1/2,-y,z+1/2'
'x+1/2,y,-z+1/2'
'x+1/2,-y+1/2,-z+1/2'
'-x+1/2,y+1/2,z+1/2'
'-x,y+1/2,-z'
'x,-y+1/2,z'
loop_
_atom_site_label
_atom_site_type_symbol
_atom_site_fract_x
_atom_site_fract_y
_atom_site_fract_z
_atom_site_occupancy
Ac1 Ac 0.1500 0.2500 0.0569 1
Bi1 Bi 0.0159 0.7500 0.2556 1
Bi2 Bi 0.1895 0.2500 0.5961 1
Rh1 Rh 0.0411 0.7500 0.9072 1
Rh2 Rh 0.0509 0.2500 0.4329 1
Rh3 Rh 0.1721 0.7500 0.3765 1
Rh4 Rh 0.2138 0.7500 0.8075 1
# Electronic total energy (eV/atom): -6.164
# Density (g/cm³): 11.8